# 1
The following is a PBE-GGA calculation of crystalline AgTe2Se at its relaxed geometry, from Alexandria.

Cell and atoms, written as POSCAR:
```
AgTe2Se
1.0
2.0507 1.1840 7.2854
-2.0507 1.1840 7.2854
0.0000 -2.3679 7.2854
Ag Te Se
1 2 1
direct
0.0000 0.0000 0.0000
0.5855 0.5855 0.5855
0.7467 0.7467 0.7467
0.1698 0.1698 0.1698
```

density	6.916	Mg/m³
formation energy without anion corrections	0.14	eV per atom
total DFT energy (no corrections)	-3.01	eV per atom

# 2
The following is a PBE-GGA calculation of crystalline AgTe2Se at its relaxed geometry, from Alexandria.

Cell and atoms, written as POSCAR:
```
AgTe2Se
1.0
4.2879 0.0000 0.0000
0.0000 4.2987 0.0000
0.0000 0.0000 5.8601
Ag Te Se
1 2 1
direct
0.0000 0.0000 0.0000
0.0000 0.0000 0.5000
0.5000 0.5000 0.5000
0.5000 0.5000 0.0000
```

density	6.795	Mg/m³
formation energy without anion corrections	0.05	eV per atom
total DFT energy (no corrections)	-3.11	eV per atom

# 3
The following is a PBE-GGA calculation of crystalline Ag2TeSe5 at its relaxed geometry, from Alexandria.

Cell and atoms, written as POSCAR:
```
Ag2TeSe5
1.0
4.8212 -3.9834 0.0000
4.8212 3.9834 0.0000
-3.3319 0.0000 4.8646
Ag Te Se
2 1 5
direct
0.0000 0.0000 0.0000
0.0000 0.0000 0.5000
0.5001 0.5001 0.4981
0.0048 0.5001 0.7514
0.5001 0.0048 0.7514
0.5001 0.5001 0.9980
0.5001 0.9954 0.2453
0.9954 0.5001 0.2453
```

density	6.560	Mg/m³
formation energy without anion corrections	0.07	eV per atom
total DFT energy (no corrections)	-3.21	eV per atom

# 4
The following is a PBE-GGA calculation of crystalline Ag3TeSe2 at its relaxed geometry, from Alexandria.

Cell and atoms, written as POSCAR:
```
Ag3TeSe2
1.0
4.5053 0.0000 0.0000
-0.0029 7.6109 0.0000
-0.0817 -2.6514 9.0121
Ag Te Se
6 2 4
direct
0.2472 0.4751 0.3860
0.2512 0.4344 0.0624
0.2519 0.0348 0.6076
0.7481 0.9652 0.3924
0.7488 0.5656 0.9376
0.7528 0.5249 0.6140
0.2502 0.7873 0.9911
0.7498 0.2127 0.0089
0.2463 0.7938 0.3017
0.2538 0.7176 0.6815
0.7462 0.2824 0.3185
0.7537 0.2062 0.6983
```

excess energy over the best structure of this formula in the dataset	0	meV per atom
density	6.546	Mg/m³
formation energy without anion corrections	-0.03	eV per atom
total DFT energy (no corrections)	-3.14	eV per atom

# 5
The following is a PBE-GGA calculation of crystalline AgTeSe2 at its relaxed geometry, from Alexandria.

Cell and atoms, written as POSCAR:
```
AgTeSe2
1.0
-2.8578 2.8578 2.9371
2.8578 -2.8578 2.9371
2.8578 2.8578 -2.9371
Ag Te Se
1 1 2
direct
0.0000 0.0000 0.0000
0.5000 0.5000 0.0000
0.0000 0.5000 0.5000
0.5000 0.0000 0.5000
```

density	6.808	Mg/m³
formation energy without anion corrections	0.01	eV per atom
total DFT energy (no corrections)	-3.23	eV per atom

# 6
The following is a PBE-GGA calculation of crystalline Ag2TeSe at its relaxed geometry, from Alexandria.

Cell and atoms, written as POSCAR:
```
Ag2TeSe
1.0
0.0000 3.5403 3.5403
3.5403 0.0000 3.5403
3.5403 3.5403 0.0000
Ag Te Se
2 1 1
direct
0.0000 0.0000 0.0000
0.2500 0.2500 0.2500
0.5000 0.5000 0.5000
0.7500 0.7500 0.7500
```

excess energy over the best structure of this formula in the dataset	350	meV per atom
density	7.902	Mg/m³
formation energy without anion corrections	0.34	eV per atom
total DFT energy (no corrections)	-2.74	eV per atom

# 7
The following is a PBE-GGA calculation of crystalline Ag4TeSe at its relaxed geometry, from Alexandria.

Cell and atoms, written as POSCAR:
```
Ag4TeSe
1.0
8.0733 -2.5157 0.0000
8.0733 2.5157 0.0000
-3.4884 0.0000 6.7087
Ag Te Se
8 2 2
direct
0.0890 0.5311 0.2176
0.1249 0.7318 0.8310
0.2682 0.8751 0.6690
0.4689 0.9110 0.2824
0.5311 0.0890 0.7176
0.7318 0.1249 0.3310
0.8751 0.2682 0.1690
0.9110 0.4689 0.7824
0.2993 0.7007 0.2500
0.7007 0.2993 0.7500
0.0000 0.5000 0.5000
0.5000 0.0000 0.0000
```

excess energy over the best structure of this formula in the dataset	25	meV per atom
density	7.776	Mg/m³
formation energy without anion corrections	-0.02	eV per atom
total DFT energy (no corrections)	-3.02	eV per atom

# 8
The following is a PBE-GGA calculation of crystalline AgTe2Se at its relaxed geometry, from Alexandria.

Cell and atoms, written as POSCAR:
```
AgTe2Se
1.0
3.6108 0.0000 0.0000
0.0000 3.6108 0.0000
0.0000 0.0000 7.3852
Ag Te Se
1 2 1
direct
0.0000 0.0000 0.0000
0.0000 0.0000 0.4600
0.5000 0.5000 0.7410
0.5000 0.5000 0.2142
```

density	7.623	Mg/m³
formation energy without anion corrections	0.31	eV per atom
total DFT energy (no corrections)	-2.84	eV per atom

# 9
The following is a PBE-GGA calculation of crystalline Ag2TeSe3 at its relaxed geometry, from Alexandria.

Cell and atoms, written as POSCAR:
```
Ag2TeSe3
1.0
0.0000 5.7228 12.1738
4.0208 0.0000 12.1738
4.0208 5.7228 0.0000
Ag Te Se
8 4 12
direct
0.0408 0.0408 0.2092
0.1266 0.1266 0.6234
0.2092 0.2092 0.0408
0.3766 0.3766 0.8734
0.6234 0.6234 0.1266
0.7908 0.7908 0.9592
0.8734 0.8734 0.3766
0.9592 0.9592 0.7908
0.2910 0.2910 0.4590
0.4590 0.4590 0.2910
0.5410 0.5410 0.7090
0.7090 0.7090 0.5410
0.0452 0.5356 0.2074
0.1171 0.6329 0.6329
0.2074 0.7118 0.0452
0.2882 0.7926 0.4644
0.3671 0.8829 0.8829
0.4644 0.9548 0.2882
0.5356 0.0452 0.7118
0.6329 0.1171 0.1171
0.7118 0.2074 0.5356
0.7926 0.2882 0.9548
0.8829 0.3671 0.3671
0.9548 0.4644 0.7926
```

density	6.879	Mg/m³
formation energy without anion corrections	-0.04	eV per atom
total DFT energy (no corrections)	-3.26	eV per atom

# 10
The following is a PBE-GGA calculation of crystalline Ag12TeSe6 at its relaxed geometry, from Alexandria.

Cell and atoms, written as POSCAR:
```
Ag12TeSe6
1.0
6.6218 3.8231 2.6967
-6.6218 3.8231 2.6967
0.0000 -7.6462 2.6967
Ag Te Se
12 1 6
direct
0.0000 0.3865 0.6135
0.0000 0.6135 0.3865
0.1438 0.1438 0.3770
0.1438 0.3770 0.1438
0.3770 0.1438 0.1438
0.3865 0.0000 0.6135
0.3865 0.6135 0.0000
0.6135 0.0000 0.3865
0.6135 0.3865 0.0000
0.6230 0.8562 0.8562
0.8562 0.6230 0.8562
0.8562 0.8562 0.6230
0.5000 0.5000 0.5000
0.2067 0.2067 0.7696
0.2067 0.7696 0.2067
0.2304 0.7933 0.7933
0.7696 0.2067 0.2067
0.7933 0.2304 0.7933
0.7933 0.7933 0.2304
```

excess energy over the best structure of this formula in the dataset	43	meV per atom
density	7.685	Mg/m³
formation energy without anion corrections	0.02	eV per atom
total DFT energy (no corrections)	-3.05	eV per atom

# 11
The following is a PBE-GGA calculation of crystalline AgTe2Se at its relaxed geometry, from Alexandria.

Cell and atoms, written as POSCAR:
```
AgTe2Se
1.0
-2.9937 2.9937 7.5020
2.9937 -2.9937 7.5020
2.9937 2.9937 -7.5020
Ag Te Se
2 4 2
direct
0.0000 0.0000 0.0000
0.7500 0.2500 0.5000
0.1282 0.6250 0.0032
0.3750 0.3782 0.5032
0.6218 0.1250 0.9968
0.8750 0.8718 0.4968
0.2500 0.7500 0.5000
0.5000 0.5000 0.0000
```

density	5.459	Mg/m³
formation energy without anion corrections	0.19	eV per atom
total DFT energy (no corrections)	-2.97	eV per atom

# 12
The following is a PBE-GGA calculation of crystalline Ag7TeSe6 at its relaxed geometry, from Alexandria.

Cell and atoms, written as POSCAR:
```
Ag7TeSe6
1.0
3.7194 2.1474 6.8694
-3.7194 2.1474 6.8694
0.0000 -4.2948 6.8694
Ag Te Se
7 1 6
direct
0.0000 0.0000 0.0000
0.1305 0.6427 0.8854
0.2248 0.6981 0.4580
0.4580 0.2248 0.6981
0.6427 0.8854 0.1305
0.6981 0.4580 0.2248
0.8854 0.1305 0.6427
0.6717 0.6717 0.6717
0.0221 0.4127 0.8158
0.3125 0.9324 0.5329
0.4127 0.8158 0.0221
0.5329 0.3125 0.9324
0.8158 0.0221 0.4127
0.9324 0.5329 0.3125
```

density	6.842	Mg/m³
formation energy without anion corrections	0.00	eV per atom
total DFT energy (no corrections)	-3.14	eV per atom

# 13
The following is a PBE-GGA calculation of crystalline Ag2TeSe at its relaxed geometry, from Alexandria.

Cell and atoms, written as POSCAR:
```
Ag2TeSe
1.0
1.5715 0.9073 10.8280
-1.5715 0.9073 10.8280
0.0000 -1.8146 10.8280
Ag Te Se
2 1 1
direct
0.0000 0.0000 0.0000
0.2635 0.2635 0.2635
0.5171 0.5171 0.5171
0.7332 0.7332 0.7332
```

excess energy over the best structure of this formula in the dataset	202	meV per atom
density	7.571	Mg/m³
formation energy without anion corrections	0.19	eV per atom
total DFT energy (no corrections)	-2.89	eV per atom

# 14
The following is a PBE-GGA calculation of crystalline Ag4TeSe at its relaxed geometry, from Alexandria.

Cell and atoms, written as POSCAR:
```
Ag4TeSe
1.0
6.3190 0.0000 0.0000
0.0000 3.5836 3.0825
0.0000 -3.5836 3.0825
Ag Te Se
4 1 1
direct
0.2421 0.2032 0.7968
0.2421 0.7968 0.2032
0.7579 0.2032 0.7968
0.7579 0.7968 0.2032
0.5000 0.6875 0.6875
0.0000 0.2937 0.2937
```

excess energy over the best structure of this formula in the dataset	0	meV per atom
density	7.589	Mg/m³
formation energy without anion corrections	-0.04	eV per atom
total DFT energy (no corrections)	-3.05	eV per atom

# 15
The following is a PBE-GGA calculation of crystalline Ag3TeSe at its relaxed geometry, from Alexandria.

Cell and atoms, written as POSCAR:
```
Ag3TeSe
1.0
3.6254 2.0931 5.3174
-3.6254 2.0931 5.3174
0.0000 -4.1862 5.3174
Ag Te Se
6 2 2
direct
0.0093 0.5185 0.7304
0.2696 0.4815 0.9907
0.4815 0.9907 0.2696
0.5185 0.7304 0.0093
0.7304 0.0093 0.5185
0.9907 0.2696 0.4815
0.1010 0.1010 0.1010
0.8990 0.8990 0.8990
0.3783 0.3783 0.3783
0.6217 0.6217 0.6217
```

excess energy over the best structure of this formula in the dataset	0	meV per atom
density	7.273	Mg/m³
formation energy without anion corrections	-0.03	eV per atom
total DFT energy (no corrections)	-3.06	eV per atom

# 16
The following is a PBE-GGA calculation of crystalline AgTeSe2 at its relaxed geometry, from Alexandria.

Cell and atoms, written as POSCAR:
```
AgTeSe2
1.0
3.7954 -2.0341 0.0000
3.7954 2.0341 0.0000
-2.3742 0.0000 6.3645
Ag Te Se
1 1 2
direct
0.0000 0.0000 0.0000
0.5000 0.5000 0.5000
0.2905 0.2905 0.7674
0.7095 0.7095 0.2326
```

density	6.647	Mg/m³
formation energy without anion corrections	0.03	eV per atom
total DFT energy (no corrections)	-3.21	eV per atom

# 17
The following is a PBE-GGA calculation of crystalline Ag2Te2Se5 at its relaxed geometry, from Alexandria.

Cell and atoms, written as POSCAR:
```
Ag2Te2Se5
1.0
-9.0232 3.4517 4.2986
9.0232 -3.4517 4.2986
9.0232 3.4517 -4.2986
Ag Te Se
4 4 10
direct
0.0680 0.1299 0.1979
0.0680 0.3701 0.4381
0.9320 0.6299 0.5619
0.9320 0.8701 0.8021
0.4838 0.7917 0.1921
0.5292 0.0292 0.5000
0.5292 0.5292 0.0000
0.5996 0.2917 0.8079
0.1345 0.1422 0.4923
0.1921 0.5402 0.9265
0.1921 0.7657 0.1520
0.4769 0.2718 0.3205
0.4769 0.6564 0.7052
0.6137 0.0402 0.8480
0.6137 0.2657 0.0735
0.6499 0.6422 0.5077
0.9513 0.1564 0.6795
0.9513 0.7718 0.2948
```

density	5.369	Mg/m³
formation energy without anion corrections	0.02	eV per atom
total DFT energy (no corrections)	-3.25	eV per atom

# 18
The following is a PBE-GGA calculation of crystalline Ag6Te2Se at its relaxed geometry, from Alexandria.

Cell and atoms, written as POSCAR:
```
Ag6Te2Se
1.0
5.6704 -7.3987 0.0000
5.6704 7.3987 0.0000
-1.1328 0.0000 5.3363
Ag Te Se
12 4 2
direct
0.0682 0.7596 0.5110
0.1395 0.5793 0.8934
0.1859 0.4916 0.3814
0.2404 0.9318 0.9890
0.4207 0.8605 0.6066
0.4916 0.1859 0.8814
0.5084 0.8141 0.1186
0.5793 0.1395 0.3934
0.7596 0.0682 0.0110
0.8141 0.5084 0.6186
0.8605 0.4207 0.1066
0.9318 0.2404 0.4890
0.0644 0.2532 0.9987
0.2532 0.0644 0.4987
0.7468 0.9356 0.5013
0.9356 0.7468 0.0013
0.4031 0.5969 0.7500
0.5969 0.4031 0.2500
```

excess energy over the best structure of this formula in the dataset	30	meV per atom
density	7.279	Mg/m³
formation energy without anion corrections	-0.01	eV per atom
total DFT energy (no corrections)	-2.99	eV per atom

# 19
The following is a PBE-GGA calculation of crystalline Ag2Te6Se at its relaxed geometry, from Alexandria.

Cell and atoms, written as POSCAR:
```
Ag2Te6Se
1.0
5.6315 -6.9125 0.0000
5.6315 6.9125 0.0000
-3.0650 0.0000 7.4986
Ag Te Se
4 12 2
direct
0.1014 0.2598 0.2300
0.2598 0.1014 0.7300
0.7402 0.8986 0.2700
0.8986 0.7402 0.7700
0.0076 0.1920 0.5281
0.0523 0.4771 0.7997
0.1920 0.0076 0.0281
0.3628 0.5451 0.4014
0.4549 0.6372 0.0986
0.4771 0.0523 0.2997
0.5229 0.9477 0.7003
0.5451 0.3628 0.9014
0.6372 0.4549 0.5986
0.8080 0.9924 0.9719
0.9477 0.5229 0.2003
0.9924 0.8080 0.4719
0.3266 0.6734 0.7500
0.6734 0.3266 0.2500
```

density	6.032	Mg/m³
formation energy without anion corrections	0.12	eV per atom
total DFT energy (no corrections)	-3.00	eV per atom

# 20
The following is a PBE-GGA calculation of crystalline Ag12Te6Se at its relaxed geometry, from Alexandria.

Cell and atoms, written as POSCAR:
```
Ag12Te6Se
1.0
6.0196 3.4754 3.6208
-6.0196 3.4754 3.6208
0.0000 -6.9509 3.6208
Ag Te Se
12 6 1
direct
0.1257 0.8661 0.7156
0.1339 0.2844 0.8743
0.1842 0.5062 0.6051
0.2844 0.8743 0.1339
0.3949 0.8158 0.4938
0.4938 0.3949 0.8158
0.5062 0.6051 0.1842
0.6051 0.1842 0.5062
0.7156 0.1257 0.8661
0.8158 0.4938 0.3949
0.8661 0.7156 0.1257
0.8743 0.1339 0.2844
0.1381 0.5320 0.2362
0.2362 0.1381 0.5320
0.4680 0.7638 0.8619
0.5320 0.2362 0.1381
0.7638 0.8619 0.4680
0.8619 0.4680 0.7638
0.0000 0.0000 0.0000
```

density	7.815	Mg/m³
formation energy without anion corrections	-0.02	eV per atom
total DFT energy (no corrections)	-2.99	eV per atom

# 21
The following is a PBE-GGA calculation of crystalline Ag2TeSe at its relaxed geometry, from Alexandria.

Cell and atoms, written as POSCAR:
```
Ag2TeSe
1.0
-3.0904 3.0904 6.0891
3.0904 -3.0904 6.0891
3.0904 3.0904 -6.0891
Ag Te Se
4 2 2
direct
0.1036 0.6250 0.9786
0.3750 0.3536 0.4786
0.6464 0.1250 0.0214
0.8750 0.8964 0.5214
0.2500 0.7500 0.5000
0.5000 0.5000 0.0000
0.0000 0.0000 0.0000
0.7500 0.2500 0.5000
```

excess energy over the best structure of this formula in the dataset	89	meV per atom
density	6.029	Mg/m³
formation energy without anion corrections	0.08	eV per atom
total DFT energy (no corrections)	-3.00	eV per atom

# 22
The following is a PBE-GGA calculation of crystalline AgTeSe3 at its relaxed geometry, from Alexandria.

Cell and atoms, written as POSCAR:
```
AgTeSe3
1.0
5.3545 0.0000 0.0000
0.0000 5.3545 0.0000
0.0000 0.0000 5.3545
Ag Te Se
1 1 3
direct
0.0000 0.0000 0.0000
0.5000 0.5000 0.5000
0.0000 0.5000 0.5000
0.5000 0.0000 0.5000
0.5000 0.5000 0.0000
```

excess energy over the best structure of this formula in the dataset	563	meV per atom
density	5.109	Mg/m³
formation energy without anion corrections	0.57	eV per atom
total DFT energy (no corrections)	-2.72	eV per atom